A plane-wave DFT calculation with PBE+U was carried out for Na4Nd3FeO8 after structural relaxation.

Geometry as extended XYZ:
```
16
Lattice="6.934 0.000 0.000 0.000 6.893 -0.032 -3.467 -3.465 4.905" Properties=species:S:1:pos:R:3 pbc="T T T"
O 0.000 0.127 2.540
O 0.000 3.348 2.176
Nd 1.733 1.714 2.436
Na 3.467 0.000 0.000
Nd -1.733 1.714 2.436
O 1.867 1.482 4.817
O 3.467 0.080 2.696
Fe 0.000 3.447 -0.016
O 3.467 3.302 2.332
Na 0.000 0.000 0.000
Nd 3.467 3.447 -0.016
O 5.334 1.947 0.055
Na 1.733 -1.732 2.452
Na -1.733 -1.732 2.452
O -1.868 1.482 4.817
O 1.599 1.947 0.055
```

Summary:
Total moment (μB/f.u.): 5.23
Raw total energy (eV/cell): -101.28